No. 1
Entry from Alexandria: a relaxed structure of Tb2PmPrDy4 (GGA-PBE).

## Properties
Energy relative to the elements   0.1 eV/f.u.
DOS(E_F)   10.6 states/eV/f.u.
Total DFT energy (no corrections)   -4.6347 eV/atom

a = 7.168 Å, b = 12.378 Å, c = 12.384 Å
α = 146.35°, β = 106.86°, γ = 89.97°
Sites, in units of the cell vectors:
Tb  0.000  0.000  0.500
Tb  0.500  0.000  0.000
Tb  0.500  0.500  0.000
Tb  0.500  0.000  0.500
Pr  0.000  0.000  0.000
Pr  0.500  0.500  0.500
Dy  0.751  0.249  0.501
Dy  0.249  0.751  0.499
Dy  0.251  0.750  0.002
Dy  0.251  0.250  0.502
Dy  0.249  0.250  0.998
Dy  0.749  0.250  0.998
Dy  0.749  0.750  0.498
Dy  0.751  0.750  0.002
Pm  0.000  0.500  0.500
Pm  0.000  0.500  0.000

No. 2
Entry from Alexandria: a relaxed structure of TbPmPrDy2 (GGA-PBE).

## Properties
Energy relative to the elements   1.9 eV/f.u.
DOS(E_F)   8.2 states/eV/f.u.
Total DFT energy (no corrections)   -4.2993 eV/atom

a = 7.179 Å, b = 8.454 Å, c = 7.187 Å
α = 126.03°, β = 90.00°, γ = 90.00°
Sites, in units of the cell vectors:
Dy  0.500  0.313  0.000
Dy  0.000  0.313  0.000
Dy  0.500  0.687  0.000
Dy  0.000  0.687  0.000
Pr  0.750  0.730  0.460
Pr  0.250  0.270  0.540
Tb  0.750  0.277  0.553
Tb  0.250  0.723  0.447
Pm  0.250  0.000  0.001
Pm  0.750  0.000  0.999

No. 3
Entry from Alexandria: a relaxed structure of TbPm4Pr2Dy (GGA-PBE).

## Properties
Energy relative to the elements   3.1 eV/f.u.
DOS(E_F)   17.8 states/eV/f.u.
Total DFT energy (no corrections)   -4.3427 eV/atom

a = 9.618 Å, b = 9.618 Å, c = 12.012 Å
α = 128.52°, β = 128.52°, γ = 88.00°
Sites, in units of the cell vectors:
Pm  0.291  0.295  0.046
Pm  0.244  0.753  0.987
Pm  0.756  0.247  0.013
Pm  0.205  0.209  0.454
Pm  0.709  0.705  0.954
Pm  0.253  0.744  0.487
Pm  0.747  0.256  0.513
Pm  0.795  0.791  0.546
Dy  0.500  0.500  0.500
Dy  0.000  0.000  0.000
Pr  0.500  0.000  0.000
Pr  0.500  0.500  0.000
Pr  0.000  0.000  0.500
Pr  0.500  0.000  0.500
Tb  0.000  0.500  0.000
Tb  0.000  0.500  0.500

No. 4
Entry from Alexandria: a relaxed structure of TbPm2Pr6Dy (GGA-PBE).

## Properties
Energy relative to the elements   1.1 eV/f.u.
DOS(E_F)   15.0 states/eV/f.u.
Total DFT energy (no corrections)   -4.6283 eV/atom

a = 9.898 Å, b = 9.033 Å, c = 9.033 Å
α = 118.02°, β = 94.43°, γ = 94.43°
Sites, in units of the cell vectors:
Pr  0.619  0.497  0.706
Pr  0.381  0.503  0.294
Pr  0.689  0.012  0.570
Pr  0.946  0.882  0.245
Pr  0.311  0.988  0.430
Pr  0.446  0.245  0.882
Pr  0.554  0.755  0.118
Pr  0.189  0.570  0.012
Pr  0.054  0.118  0.755
Pr  0.811  0.430  0.988
Pr  0.119  0.706  0.497
Pr  0.881  0.294  0.503
Pm  0.043  0.294  0.196
Pm  0.543  0.196  0.294
Pm  0.457  0.804  0.706
Pm  0.957  0.706  0.804
Dy  0.250  0.409  0.591
Dy  0.750  0.591  0.409
Tb  0.250  0.978  0.022
Tb  0.750  0.022  0.978